[1]
Entry from Alexandria via LeMat-Bulk: crystalline Sm2UN at its relaxed geometry (PBE-GGA).

Properties
M_tot ... 2.61 μB/f.u.
SG ... R-3m (166)
E_form (uncorrected) ... -99 kJ/mol of formula units
Final energy ... -7.52 eV per atom

Cell: 3.3682 3.3682 9.8759 Å, 80.18 80.18 60.00°
Site moments in Bohr magnetons follow the coordinates.
Atoms (fractional coordinates):
U  0.0000  0.0000  0.0000  2.48
Sm  0.1174  0.1174  0.6477  -0.04
Sm  0.8826  0.8826  0.3523  -0.04
N  0.5000  0.5000  0.5000  0.00



[2]
Entry from Alexandria via LeMat-Bulk: crystalline Sm5U3N8 at its relaxed geometry (PBE-GGA).

Properties
M_tot ... 1.96 μB/f.u.
SG ... R-3m (166)
E_form (uncorrected) ... -2257 kJ/mol of formula units
Final energy ... -9.22 eV per atom

Cell: 7.0231 7.0231 7.0430 Å, 60.09 60.09 60.00°
Site moments in Bohr magnetons follow the coordinates.
Atoms (fractional coordinates):
U  0.0000  0.5000  0.5000  0.66
N  0.2498  0.7798  0.7205  -0.02
N  0.2202  0.7502  0.2795  -0.02
Sm  0.5000  0.5000  0.0000  0.00
N  0.2498  0.2498  0.7205  -0.02
Sm  0.0000  0.5000  0.0000  0.00
N  0.2392  0.2392  0.2823  -0.03
U  0.0000  0.0000  0.5000  0.66
Sm  0.5000  0.5000  0.5000  -0.01
N  0.7502  0.7502  0.2795  -0.02
N  0.7608  0.7608  0.7177  -0.03
N  0.7502  0.2202  0.2795  -0.02
U  0.5000  0.0000  0.5000  0.66
Sm  0.5000  0.0000  0.0000  0.00
N  0.7798  0.2498  0.7205  -0.02
Sm  0.0000  0.0000  0.0000  0.02



[3]
Entry from Alexandria via LeMat-Bulk: crystalline Sm6UN8 at its relaxed geometry (PBE-GGA).

Properties
M_tot ... 0.00 μB/f.u.
SG ... R-3 (148)
E_form (uncorrected) ... -1770 kJ/mol of formula units
Final energy ... -8.30 eV per atom

Cell: 6.5253 6.5253 6.5253 Å, 69.49 69.49 69.49°
Atoms (fractional coordinates):
N  0.8332  0.3249  0.0982
Sm  0.5020  0.2947  0.9472
Sm  0.9472  0.5020  0.2947
N  0.9018  0.1668  0.6751
N  0.6751  0.9018  0.1668
Sm  0.2947  0.9472  0.5020
U  0.0000  0.0000  0.0000
N  0.1668  0.6751  0.9018
Sm  0.7053  0.0528  0.4980
N  0.0982  0.8332  0.3249
N  0.3249  0.0982  0.8332
Sm  0.4980  0.7053  0.0528
N  0.6758  0.6758  0.6758
Sm  0.0528  0.4980  0.7053
N  0.3242  0.3242  0.3242



[4]
Entry from Alexandria via LeMat-Bulk: crystalline Sm2UN3 at its relaxed geometry (PBE-GGA).

Properties
Offset from the most stable computed form ... 30.6 kJ/mol of atoms
M_tot ... 0.71 μB/f.u.
SG ... C2/m (12)
E_form (uncorrected) ... -662 kJ/mol of formula units
Final energy ... -8.76 eV per atom

Cell: 3.5898 9.8407 7.0350 Å, 104.32 90.00 100.51°
Site moments in Bohr magnetons follow the coordinates.
Atoms (fractional coordinates):
N  0.4223  0.8446  0.4584  -0.03
Sm  0.3342  0.6683  0.1645  0.04
N  0.9896  0.9791  0.8020  -0.03
N  0.3862  0.7722  0.9077  -0.01
Sm  0.8573  0.7145  0.6848  0.05
N  0.5777  0.1554  0.5416  -0.03
U  0.0000  0.0000  0.5000  0.80
N  0.0104  0.0209  0.1980  -0.03
Sm  0.1427  0.2855  0.3152  0.05
U  0.5000  0.0000  0.0000  0.34
N  0.6138  0.2278  0.0923  -0.01
Sm  0.6658  0.3317  0.8355  0.04



[5]
Entry from Alexandria via LeMat-Bulk: crystalline SmUN2 at its relaxed geometry (PBE-GGA).

Properties
M_tot ... 1.16 μB/f.u.
SG ... R3m (160)
E_form (uncorrected) ... -466 kJ/mol of formula units
Final energy ... -9.37 eV per atom

Cell: 3.4550 3.4550 6.3348 Å, 74.17 74.17 60.00°
Site moments in Bohr magnetons follow the coordinates.
Atoms (fractional coordinates):
U  0.6691  0.6691  0.9927  1.26
N  0.2636  0.2636  0.2093  -0.06
Sm  0.4923  0.4923  0.5232  -0.05
N  0.0751  0.0751  0.7748  -0.04



[6]
Entry from Alexandria via LeMat-Bulk: crystalline Sm2Y3UN6 at its relaxed geometry (PBE-GGA).

Properties
M_tot ... 0.56 μB/f.u.
SG ... C2/m (12)
E_form (uncorrected) ... -1855 kJ/mol of formula units
Final energy ... -9.11 eV per atom

Cell: 6.0682 6.0682 6.0423 Å, 99.65 99.65 119.98°
Site moments in Bohr magnetons follow the coordinates.
Atoms (fractional coordinates):
Y  0.5000  0.5000  0.5000  0.01
Sm  0.3335  0.6665  0.0000  0.01
U  0.0000  0.0000  0.0000  0.52
N  0.3898  0.0818  0.2448  -0.01
Y  0.1667  0.8333  0.5000  0.01
N  0.6102  0.9182  0.7552  -0.01
Y  0.8333  0.1667  0.5000  0.01
Sm  0.6665  0.3335  0.0000  0.01
N  0.2263  0.2263  0.7597  -0.01
N  0.7737  0.7737  0.2403  -0.01
N  0.9182  0.6102  0.7552  -0.01
N  0.0818  0.3898  0.2448  -0.01



[7]
Entry from Alexandria via LeMat-Bulk: crystalline Sm3Y2UN6 at its relaxed geometry (PBE-GGA).

Properties
M_tot ... 0.48 μB/f.u.
SG ... C2/m (12)
E_form (uncorrected) ... -1834 kJ/mol of formula units
Final energy ... -8.94 eV per atom

Cell: 6.0677 6.0677 6.1076 Å, 99.54 99.54 119.95°
Site moments in Bohr magnetons follow the coordinates.
Atoms (fractional coordinates):
N  0.2354  0.2354  0.7710  -0.01
Y  0.6663  0.3337  0.0000  0.01
N  0.9236  0.6119  0.7710  -0.01
Sm  0.5000  0.5000  0.5000  0.01
N  0.3881  0.0764  0.2290  -0.01
Sm  0.8321  0.1679  0.5000  0.01
Y  0.3337  0.6663  0.0000  0.01
N  0.7646  0.7646  0.2290  -0.01
Sm  0.1679  0.8321  0.5000  0.01
N  0.6119  0.9236  0.7710  -0.01
N  0.0764  0.3881  0.2290  -0.01
U  0.0000  0.0000  0.0000  0.41



[8]
Entry from Alexandria via LeMat-Bulk: crystalline SmZrU2N4 at its relaxed geometry (PBE-GGA).

Properties
M_tot ... 2.72 μB/f.u.
SG ... P2/m (10)
E_form (uncorrected) ... -1124 kJ/mol of formula units
Final energy ... -10.10 eV per atom

Cell: 3.4120 5.9534 5.9509 Å, 109.32 90.00 90.00°
Site moments in Bohr magnetons follow the coordinates.
Atoms (fractional coordinates):
N  0.5000  0.7651  0.7488  -0.05
N  0.0000  0.2276  0.7371  -0.04
N  0.5000  0.2349  0.2512  -0.05
N  0.0000  0.7724  0.2629  -0.04
U  0.0000  0.5000  0.5000  1.65
U  0.5000  0.0000  0.5000  0.98
Sm  0.5000  0.5000  0.0000  0.01
Zr  0.0000  0.0000  0.0000  0.01